# 1
Crystalline Zn6NiPd at its relaxed geometry, computed with PBE.

Cell and atoms, written as extended XYZ:
```
8
Lattice="3.8103 0.0000 0.0000 0.0000 3.8103 0.0000 0.0000 0.0000 7.6363" Properties=species:S:1:pos:R:3 pbc="T T T"
Ni 0.0000 0.0000 3.8182
Zn 1.9051 0.0000 1.9901
Zn 1.9051 0.0000 5.6462
Zn 1.9051 1.9051 3.8182
Pd 0.0000 0.0000 0.0000
Zn 0.0000 1.9051 5.6462
Zn 1.9051 1.9051 0.0000
Zn 0.0000 1.9051 1.9901
```

Summary:
Crystal system: tetragonal
Polymorph energy (0 for the lowest one), meV/atom: 0
ΔH_f (0 K), eV/atom: -0.2439
Total energy, eV per atom: -2.571

# 2
Crystalline NdMgTlPb at its relaxed geometry, computed with PBE.

Cell and atoms, written as extended XYZ:
```
4
Lattice="5.4170 0.0000 0.0000 2.7085 4.6912 0.0000 2.7085 1.5637 4.4229" Properties=species:S:1:pos:R:3 pbc="T T T"
Tl 0.0000 0.0000 0.0000
Pb 5.4170 3.1275 2.2115
Nd 2.7085 1.5637 1.1057
Mg 8.1255 4.6912 3.3172
```

Summary:
Crystal system: cubic
Polymorph energy (0 for the lowest one), meV/atom: 127
ΔH_f (0 K), eV/atom: -0.2359
Total energy, eV per atom: -3.345

# 3
Crystalline MgRe2Br at its relaxed geometry, computed with PBE.

Cell and atoms, written as extended XYZ:
```
4
Lattice="-2.0749 1.0531 -5.5076 -0.3335 -1.5195 -5.7730 -3.3344 -2.3349 0.7533" Properties=species:S:1:pos:R:3 pbc="T T T"
Br -1.4357 -0.7003 -2.6318
Re -2.9372 -1.4898 -4.8317
Re -3.2686 -2.2458 0.3214
Mg -4.3071 -2.1010 -7.8955
```

Summary:
Crystal system: monoclinic
Polymorph energy (0 for the lowest one), meV/atom: 507
Energy relative to the elements, uncorrected, kcal/mol of atoms: 15.27
Total energy, eV per atom: -6.379

# 4
Crystalline SrPm3Np2N6 at its relaxed geometry, computed with PBE.

Cell and atoms, written as extended XYZ:
```
12
Lattice="-3.3560 -0.8685 0.8496 1.2285 -6.7601 -2.0575 3.5924 0.3801 7.0821" Properties=species:S:1:pos:R:3 pbc="T T T"
Np 1.0565 -2.2846 1.8380
Pm 1.6694 -5.6712 0.7972
N 0.4354 -1.8823 -0.2044
N 1.0296 -5.3662 6.0786
Np 0.4085 -4.9639 4.0363
N 2.3436 -6.0552 3.0676
N 1.7689 -2.9021 4.0209
N -0.3040 -4.3463 1.8534
N -0.8786 -1.1932 2.8066
Pm -0.2045 -1.5773 5.0770
Sr -1.6780 -0.4342 0.4248
Pm -1.0637 -3.8143 -0.6039
```

Summary:
Crystal system: monoclinic
Energy relative to the elements, uncorrected, kcal/mol of atoms: -28.07
Total energy, eV per atom: -8.865

# 5
Crystalline CdSnPt at its relaxed geometry, computed with PBE.

Cell and atoms, written as extended XYZ:
```
6
Lattice="4.3958 0.0000 1.2807 2.0113 3.9087 1.2807 0.0871 0.0532 7.8851" Properties=species:S:1:pos:R:3 pbc="T T T"
Pt 1.6680 1.0176 2.4591
Sn 2.5130 1.5331 7.7430
Pt 4.8263 2.9443 7.9875
Cd 5.6086 3.4215 5.3022
Cd 0.8857 0.5403 5.1444
Sn 3.9813 2.4288 2.7036
```

Summary:
Crystal system: trigonal
ΔH_f (0 K), eV/atom: -0.4221
Total energy, eV per atom: -4.075

# 6
Crystalline Sr2InGaAu6 at its relaxed geometry, computed with PBE.

Cell and atoms, written as extended XYZ:
```
10
Lattice="-2.5920 8.6143 1.5116 -5.3742 -1.7841 0.9572 -3.0342 3.0573 5.8914" Properties=species:S:1:pos:R:3 pbc="T T T"
Au -5.9405 5.0347 1.8540
Ga -3.9831 3.4151 1.2344
Au -3.2611 5.9237 1.3768
Au -5.0599 4.8528 6.5061
Au -7.8667 7.9153 5.0452
In 0.0000 0.0000 0.0000
Au -3.1337 1.9722 3.3149
Au -7.7393 3.9638 6.9833
Sr -4.7124 7.2251 4.2394
Sr -6.2879 2.6624 4.1207
```

Summary:
Crystal system: monoclinic
ΔH_f (0 K), eV/atom: -0.4704
Total energy, eV per atom: -3.350

> total energy of number 5 (CdSnPt)?

-4.075 eV per atom

> Which of these has the highest total energy?

Zn6NiPd

> Among the records above, which one has the lowest total energy?

SrPm3Np2N6

> Among the records above, which one has the lowest total energy?

SrPm3Np2N6